Entry 1:
A plane-wave DFT calculation with PBE-GGA was carried out for BaN after structural relaxation.

Results
ΔE_f (raw), meV/atom: 221
Space group: I-43m (217)
Crystal system: cubic
ρ, kg/m3: 3454

Geometry as extended XYZ:
```
16
Lattice="-1.6790 -3.1276 7.5575 3.0432 -7.4001 -2.3864 7.5919 2.2746 2.6280" Properties=species:S:1:pos:R:3 pbc="T T T"
Ba 2.9600 -2.7277 2.5776
Ba 6.5653 -4.4652 2.6595
Ba 4.9645 -3.0168 6.0305
Ba 3.4225 -6.2966 4.3306
Ba 7.4381 -6.8542 6.4771
Ba 0.4083 -3.4663 6.3175
Ba 3.5296 -6.2904 -0.2555
Ba 6.5363 0.1046 3.0590
N 1.3696 -1.2621 1.1926
N 8.7521 -4.8200 1.3603
N 5.4741 -1.8542 8.2630
N 2.3166 -8.5700 4.7822
N 5.8476 -5.3886 5.0922
N 2.5950 -3.8211 5.0183
N 4.0392 -5.1277 1.9770
N 5.4304 -2.1688 3.5106
```

=====

Entry 2:
A plane-wave DFT calculation with PBE-GGA was carried out for Ce2SmHg4 after structural relaxation.

Results
E above lowest polymorph, meV per atom: 0
Space group: R-3m (166)
Crystal system: trigonal
ΔH_f (0 K), kJ/mol of formula units: -148
ρ, kg/m3: 9683

Geometry as extended XYZ:
```
7
Lattice="-4.1622 -1.8759 2.5819 -1.4466 -5.0009 -0.6381 3.3863 -4.6730 7.3912" Properties=species:S:1:pos:R:3 pbc="T T T"
Sm 0.0000 0.0000 0.0000
Ce -1.7413 -8.6286 6.9057
Ce -0.4811 -2.9212 2.4293
Hg -3.6200 -7.7777 4.4953
Hg 1.3976 -3.7722 4.8397
Hg -3.0893 -4.8789 2.1297
Hg 0.8668 -6.6709 7.2053
```

=====

Entry 3:
A plane-wave DFT calculation with PBE-GGA was carried out for Tb8Ho5In after structural relaxation.

Results
Space group: I-4 (82)
Crystal system: tetragonal
ΔH_f (0 K), kJ/mol of formula units: 252
ρ, kg/m3: 8074

Geometry as extended XYZ:
```
14
Lattice="7.9603 0.0000 -2.6562 -4.0101 6.7909 -2.8677 0.0599 0.0000 8.3916" Properties=species:S:1:pos:R:3 pbc="T T T"
Tb -1.6050 4.9416 -1.9506
Tb 7.0707 0.6531 2.7828
Tb 4.8681 1.7719 0.1890
Tb 3.6792 2.6779 4.8094
Tb 1.7305 4.1130 -0.9408
Tb 0.9091 6.1379 2.9237
Tb 1.6454 1.8494 1.9795
Tb -2.2575 5.0191 1.6778
Ho -1.0724 2.0956 0.1098
Ho 3.3888 6.0778 -3.3490
Ho 3.7674 4.6953 1.8174
Ho 4.0101 0.0000 2.8677
Ho 1.9364 0.7131 7.1572
In 0.0299 3.3954 4.1958
```

=====

Entry 4:
A plane-wave DFT calculation with PBE-GGA was carried out for BeCuPd after structural relaxation.

Results
E above lowest polymorph, meV per atom: 257
Space group: P6_222 (180)
Crystal system: hexagonal
ΔH_f (0 K), kJ/mol of formula units: -14
ρ, kg/m3: 7597

Geometry as extended XYZ:
```
18
Lattice="-1.6362 -0.5174 -5.0256 5.1758 0.5243 1.0667 0.8197 -9.5486 0.7161" Properties=species:S:1:pos:R:3 pbc="T T T"
Cu -0.2716 -6.6245 -2.0354
Cu 0.4098 -4.7743 0.3581
Cu 0.6831 -7.9572 0.5968
Cu 0.1366 -1.5914 0.1194
Cu 1.7698 0.0035 -1.9795
Cu 2.8611 -2.9207 0.7721
Be 3.5044 -1.3862 -0.9982
Be 1.4186 -8.1544 -2.8750
Be 1.4059 -4.8892 -2.3134
Be 0.3085 -1.7898 -2.7220
Be 2.9534 -4.6525 -0.9294
Be 3.4872 -7.7530 0.1096
Pd 2.0081 -2.7722 -1.7713
Pd 3.0994 -5.6964 0.9802
Pd 2.3512 -6.7695 -1.4715
Pd 2.6229 -0.1450 0.5639
Pd -0.0334 -9.4001 -1.8272
Pd -0.5099 -3.8488 -2.2436
```

=====

Entry 5:
A plane-wave DFT calculation with PBE-GGA was carried out for Ga2SN after structural relaxation.

Results
ΔE_f (raw), meV/atom: 789
E above lowest polymorph, meV per atom: 980
Space group: Fm-3m (225)
Crystal system: cubic
ρ, kg/m3: 5523

Geometry as extended XYZ:
```
4
Lattice="-2.4747 -3.4816 -0.3839 -4.1768 0.4239 -0.8761 -1.5108 -1.1434 -3.8475" Properties=species:S:1:pos:R:3 pbc="T T T"
S -4.0811 -2.1005 -2.5537
Ga -2.0406 -1.0503 -1.2769
Ga -6.1217 -3.1508 -3.8306
N 0.0000 0.0000 0.0000
```

=====

Entry 6:
A plane-wave DFT calculation with PBE-GGA was carried out for Na2UBr2N2 after structural relaxation.

Results
ΔE_f (raw), meV/atom: -1222
Space group: I4/mmm (139)
Crystal system: tetragonal
ρ, kg/m3: 5062

Geometry as extended XYZ:
```
7
Lattice="4.1689 0.0000 0.0000 0.0000 4.1689 0.0000 -2.0844 -2.0844 8.9051" Properties=species:S:1:pos:R:3 pbc="T T T"
Na 0.0000 0.0000 6.9427
Na 2.0844 2.0844 1.9624
U 0.0000 0.0000 0.0000
Br 0.0000 0.0000 2.9125
Br 2.0844 2.0844 5.9926
N 0.0000 2.0844 0.0000
N 2.0844 0.0000 0.0000
```

=====

Entry 7:
A plane-wave DFT calculation with PBE-GGA was carried out for RbLaAsBr2 after structural relaxation.

Results
ΔE_f (raw), meV/atom: -1256
E above lowest polymorph, meV per atom: 0
Space group: P4/mmm (123)
Crystal system: tetragonal
ρ, kg/m3: 3699

Geometry as extended XYZ:
```
5
Lattice="5.9761 0.0000 0.0000 0.0000 5.9761 0.0000 0.0000 0.0000 5.7711" Properties=species:S:1:pos:R:3 pbc="T T T"
As 0.0000 0.0000 2.8856
Br 0.0000 2.9880 0.0000
Br 2.9880 0.0000 0.0000
Rb 2.9880 2.9880 2.8856
La 0.0000 0.0000 0.0000
```

=====

Entry 8:
A plane-wave DFT calculation with PBE-GGA was carried out for TaCuRe2H after structural relaxation.

Results
Final energy, Ha/atom: -0.3204
Space group: P4/mmm (123)
Crystal system: tetragonal
ρ, kg/m3: 16530

Geometry as extended XYZ:
```
5
Lattice="4.0389 0.0000 0.0000 0.0000 4.0389 0.0000 0.0000 0.0000 3.8051" Properties=species:S:1:pos:R:3 pbc="T T T"
Re 0.0000 2.0195 0.0000
Re 2.0195 0.0000 0.0000
H 0.0000 0.0000 0.0000
Cu 0.0000 0.0000 1.9025
Ta 2.0195 2.0195 1.9025
```

=====

Entry 9:
A plane-wave DFT calculation with PBE-GGA was carried out for DyHo2H after structural relaxation.

Results
E above lowest polymorph, meV per atom: 0
Space group: R-3m (166)
Crystal system: trigonal
ρ, kg/m3: 8785

Geometry as extended XYZ:
```
4
Lattice="-3.2330 -0.0297 -1.5247 -0.3810 -1.1591 -3.3599 -2.4745 -8.2262 1.2170" Properties=species:S:1:pos:R:3 pbc="T T T"
H 0.0000 0.0000 0.0000
Ho -1.4107 -1.6668 -1.1665
Ho -4.6778 -7.7483 -2.5010
Dy -3.0442 -4.7075 -1.8338
```

=====

Entry 10:
A plane-wave DFT calculation with PBE-GGA was carried out for Dy7Ag2Sn2 after structural relaxation.

Results
Space group: Cmmm (65)
Crystal system: orthorhombic
ΔH_f (0 K), kJ/mol of formula units: -115
ρ, kg/m3: 7993

Geometry as extended XYZ:
```
11
Lattice="6.9137 -0.0036 -0.8377 0.0030 7.1395 0.0033 -1.2668 -0.0016 6.8481" Properties=species:S:1:pos:R:3 pbc="T T T"
Dy -0.6319 1.9143 3.4252
Dy 3.4593 5.2226 -0.4158
Dy 6.2819 5.2200 2.5885
Dy 2.1906 1.9117 6.4295
Dy 0.0000 0.0000 0.0000
Dy 2.8253 5.3623 3.0081
Dy 2.8246 1.7720 3.0056
Ag 4.5697 -0.0026 1.3645
Ag 1.0802 7.1369 4.6492
Sn 4.6377 3.5655 4.9362
Sn 1.0122 3.5688 1.0774
```

=====

Entry 11:
A plane-wave DFT calculation with PBE-GGA was carried out for KNa4Zn after structural relaxation.

Results
E above lowest polymorph, meV per atom: 106
Space group: F-43m (216)
Crystal system: cubic
ΔH_f (0 K), kJ/mol of formula units: 86
ρ, kg/m3: 1441

Geometry as extended XYZ:
```
6
Lattice="-2.0821 3.3689 5.5785 -6.0750 3.1460 0.0277 -5.1248 -2.4907 3.7865" Properties=species:S:1:pos:R:3 pbc="T T T"
Na -5.7273 3.7828 3.9680
Na -5.2461 0.9285 5.8714
Na -8.3223 2.5216 5.8854
Na -7.2680 0.8157 3.0606
Zn 0.0000 0.0000 0.0000
K -3.3205 1.0061 2.3482
```

=====

Entry 12:
A plane-wave DFT calculation with PBE-GGA was carried out for LaTl2Au after structural relaxation.

Results
E above lowest polymorph, meV per atom: 213
Space group: C2/m (12)
Crystal system: monoclinic
ΔH_f (0 K), kJ/mol of formula units: -104
ρ, kg/m3: 10334

Geometry as extended XYZ:
```
4
Lattice="6.8456 -0.0510 0.3420 -3.9580 5.5856 0.3420 1.3250 2.5396 3.4598" Properties=species:S:1:pos:R:3 pbc="T T T"
Au 4.0853 1.2443 1.9009
La -1.3165 4.0626 1.9009
Tl 0.0000 0.0000 0.0000
Tl 1.4438 2.7673 0.3420
```

=====

Question: The lowest ρ belongs to which entry?
Answer: KNa4Zn

=====

Question: Which of these has the highest ρ?
Answer: TaCuRe2H

=====

Question: Which of these has the highest ρ?
Answer: TaCuRe2H